# 1
# TiZn2GeC

A geometry-optimized TiZn2GeC structure (PBE-GGA, the Alexandria database).

Lattice parameters (Å, degrees): 5.0432 5.0432 3.9087 90.00 90.00 90.00
Closest atoms and distances in Å follow each position.
Space group P4/mmm (No. 123)
One atom of each set of equivalent atoms:
Ti: 0.0000 0.0000 0.0000 (multiplicity 1)  2 C 1.95
Zn: 0.0000 0.5000 0.0000 (multiplicity 2)  2 Ti 2.52
Ge: 0.5000 0.5000 0.5000 (multiplicity 1)  8 Zn 3.19, 4 C 3.57
C: 0.0000 0.0000 0.5000 (multiplicity 1)  2 Ti 1.95

# 2
# ZrTiGeC2

A geometry-optimized ZrTiGeC2 structure (PBE-GGA, the Alexandria database).

Lattice parameters (Å, degrees): 4.0197 4.0197 5.4498 90.00 90.00 90.00
Closest atoms and distances in Å follow each position.
Space group P4/mmm (No. 123)
One atom of each set of equivalent atoms:
Zr: 0.0000 0.0000 0.0000 (multiplicity 1)  2 Ti 2.72, 4 Ge 2.84
Ti: 0.0000 0.0000 0.5000 (multiplicity 1)  4 C 2.01
Ge: 0.5000 0.5000 0.0000 (multiplicity 1)  4 Zr 2.84
C: 0.0000 0.5000 0.5000 (multiplicity 2)  2 Ti 2.01

# 3
# TlGe2C

A geometry-optimized TlGe2C structure (PBE-GGA, the Alexandria database).

Lattice parameters (Å, degrees): 6.7271 6.7271 6.7271 90.00 90.00 90.00
Closest atoms and distances in Å follow each position.
Space group Fm-3m (No. 225)
One atom of each set of equivalent atoms:
Tl: 0.0000 0.0000 0.0000 (multiplicity 4)  8 Ge 2.91
Ge: 0.2500 0.2500 0.2500 (multiplicity 8)  4 Tl 2.91, 4 C 2.91
C: 0.0000 0.0000 0.5000 (multiplicity 4)  8 Ge 2.91

Energy above the lowest structure with this stoichiometry = 867.8 meV/atom

Number 1: ΔH_f (0 K) 1095.7 meV/atom. Number 2: ΔH_f (0 K) 1364.5 meV/atom. Number 3: ΔH_f (0 K) 1596.7 meV/atom.